This record from Alexandria via LeMat-Bulk describes an optimized crystal structure of Y2ZrTe. The functional is PBE.

Computed properties:
Raw total energy in eV per atom: -6.53
Total moment in μB per formula unit: 0.7
Mass density in g/cm³: 5.6
E_form (uncorrected) in kcal/mol of atoms: -8.618
Space-group type: R3m (160)

```
Y2ZrTe
1.0
10.023 -0.001 -0.001
9.337 3.645 -0.001
9.337 1.757 3.193
Zr Y Te
1 2 1
Cartesian
14.059 2.646 1.564
7.004 1.318 0.779
0.308 0.058 0.034
21.675 4.079 2.411
```